K3UAg2Se6 | Alexandria | PBE | optimized geometry; energy relative to the elements, uncorrected = -811 meV/atom
1.0
7.595 -0.478 -0.015
-4.210 6.339 -0.015
-1.150 -1.991 7.548
K U Ag Se
3 1 2 6
Cartesian
-2.602 4.083 3.759 K
4.837 -0.213 3.759 K
1.118 1.935 3.759 K
0.000 0.000 0.000 U
0.305 3.732 -0.015 Ag
3.080 2.130 -0.015 Ag
3.359 1.823 6.087 Se
2.395 4.147 1.812 Se
-1.124 2.048 1.431 Se
-0.100 3.821 6.087 Se
-0.160 -0.276 5.706 Se
2.335 0.049 1.431 Se

---

AlCoHg | Alexandria | PBE | optimized geometry; polymorph energy (0 for the lowest one) = 0.173 eV/atom; energy of formation from the pure elements = 0.201 eV/atom
1.0
-0.120 2.952 0.235
-1.724 -1.695 1.715
4.612 -0.168 4.468
Co Hg Al
1 1 1
Cartesian
0.764 1.352 2.103 Co
1.809 -0.255 4.127 Hg
0.195 -0.007 0.189 Al

---

BaAcRh2 | Alexandria | PBE | optimized geometry; polymorph energy (0 for the lowest one) = 0.016 eV/atom; energy of formation from the pure elements = -0.279 eV/atom
1.0
-1.015 -0.778 3.556
-3.555 -0.578 -1.142
1.550 -7.270 -1.147
Ac Rh Ba
1 2 1
Cartesian
-2.285 -0.678 1.207 Ac
1.231 -5.772 -0.911 Rh
0.319 -1.498 -0.236 Rh
-1.510 -4.313 0.633 Ba

---

Repeat the second record exactly.
AlCoHg | Alexandria | PBE | optimized geometry; polymorph energy (0 for the lowest one) = 0.173 eV/atom; energy of formation from the pure elements = 0.201 eV/atom
1.0
-0.120 2.952 0.235
-1.724 -1.695 1.715
4.612 -0.168 4.468
Co Hg Al
1 1 1
Cartesian
0.764 1.352 2.103 Co
1.809 -0.255 4.127 Hg
0.195 -0.007 0.189 Al